Entry 1:
The following is a DFT calculation (meta-GGA SCAN) of a crystal of KLi2Se relaxed with PBEsol.

Unit cell a=4.2099 b=4.2132 c=7.7362 alpha=74.24 beta=74.21 gamma=60.03
Sites, in units of the cell vectors:
Se1 0.4338 0.4326 0.6998
K1 0.2356 0.2385 0.2903
Li1 0.7823 0.7817 0.6537
Li2 0.0483 0.0472 0.8562

Properties
N(E_F)   0.2764 states/eV/atom
Uncorrected formation energy   -878 meV per atom
Total energy   -9.175 eV/atom



Entry 2:
The following is a DFT calculation (meta-GGA SCAN) of a crystal of KLiSe4 relaxed with PBEsol.

Unit cell a=5.8528 b=5.8528 c=5.8528 alpha=60.00 beta=60.00 gamma=60.00
Sites, in units of the cell vectors:
Se1 0.8762 0.3746 0.3746
Se2 0.3746 0.3746 0.3746
Se3 0.3746 0.8762 0.3746
Se4 0.3746 0.3746 0.8762
K1 0.7500 0.7500 0.7500
Li1 0.0000 0.0000 0.0000

Properties
N(E_F)   0.3626 states/eV/atom
Uncorrected formation energy   -291 meV per atom
Total energy   -15.463 eV/atom



Entry 3:
The following is a DFT calculation (meta-GGA SCAN) of a crystal of KLi2Se relaxed with PBEsol.

Unit cell a=3.7500 b=5.6974 c=6.5335 alpha=115.85 beta=106.68 gamma=90.00
Sites, in units of the cell vectors:
Li1 0.1471 0.1471 0.2943
K1 0.0000 0.5000 0.0000
Se1 0.5000 0.0000 0.0000
Li2 0.8529 0.8529 0.7057

Properties
N(E_F)   0.2815 states/eV/atom
Uncorrected formation energy   -787 meV per atom
Total energy   -9.083 eV/atom



Entry 4:
The following is a DFT calculation (meta-GGA SCAN) of a crystal of K2LiSi relaxed with PBEsol.

Unit cell a=4.5498 b=4.8038 c=5.4428 alpha=90.00 beta=90.00 gamma=90.00
Sites, in units of the cell vectors:
K1 0.5000 0.5000 0.0000
Si1 0.0000 0.5000 0.5000
Li1 0.5000 0.0000 0.5000
K2 0.0000 0.0000 0.0000

Properties
N(E_F)   0.5912 states/eV/atom
Uncorrected formation energy   389 meV per atom
Total energy   -6.877 eV/atom



Entry 5:
The following is a DFT calculation (meta-GGA SCAN) of a crystal of KLi2Sn relaxed with PBEsol.

Unit cell a=5.3251 b=5.3251 c=10.1803 alpha=105.16 beta=105.16 gamma=90.00
Sites, in units of the cell vectors:
Li1 0.6250 0.8578 0.7500
K1 0.5000 0.5000 0.0000
Sn1 0.2500 0.7500 0.5000
Sn2 0.0000 0.0000 0.0000
Li2 0.1078 0.3750 0.2500
K2 0.7500 0.2500 0.5000
Li3 0.1250 0.8922 0.7500
Li4 0.1422 0.8750 0.2500

Properties
N(E_F)   0.5073 states/eV/atom
Total energy   -12.310 eV/atom
Formation enthalpy at 0 K   -0.05 eV per atom



Entry 6:
The following is a DFT calculation (meta-GGA SCAN) of a crystal of KLi3Sn relaxed with PBEsol.

Unit cell a=4.9828 b=4.9828 c=4.9828 alpha=90.00 beta=90.00 gamma=90.00
Sites, in units of the cell vectors:
Li1 0.5000 0.0000 0.0000
K1 0.0000 0.0000 0.0000
Sn1 0.5000 0.5000 0.5000
Li2 0.0000 0.0000 0.5000
Li3 0.0000 0.5000 0.0000

Properties
N(E_F)   0.4277 states/eV/atom
Total energy   -9.703 eV/atom
Formation enthalpy at 0 K   0.58 eV per atom



Entry 7:
The following is a DFT calculation (meta-GGA SCAN) of a crystal of KLi3Sn relaxed with PBEsol.

Unit cell a=5.2938 b=5.2938 c=5.2938 alpha=90.00 beta=90.00 gamma=90.00
Sites, in units of the cell vectors:
Sn1 0.0000 0.0000 0.0000
Li1 0.5000 0.0000 0.0000
Li2 0.0000 0.0000 0.5000
K1 0.5000 0.5000 0.5000
Li3 0.0000 0.5000 0.0000

Properties
N(E_F)   0.0042 states/eV/atom
Total energy   -10.530 eV/atom
Formation enthalpy at 0 K   -0.25 eV per atom



Entry 8:
The following is a DFT calculation (meta-GGA SCAN) of a crystal of KSrLi4 relaxed with PBEsol.

Unit cell a=6.5071 b=6.5071 c=6.5071 alpha=60.00 beta=60.00 gamma=60.00
Sites, in units of the cell vectors:
Sr1 0.7500 0.7500 0.7500
Li1 0.8720 0.3760 0.3760
Li2 0.3760 0.3760 0.3760
K1 0.0000 0.0000 0.0000
Li3 0.3760 0.3760 0.8720
Li4 0.3760 0.8720 0.3760

Properties
N(E_F)   0.5936 states/eV/atom
Total energy   -6.623 eV/atom
Formation enthalpy at 0 K   0.07 eV per atom



Entry 9:
The following is a DFT calculation (meta-GGA SCAN) of a crystal of K2SrLi relaxed with PBEsol.

Unit cell a=4.2775 b=4.2796 c=11.3637 alpha=89.94 beta=90.00 gamma=90.00
Sites, in units of the cell vectors:
K1 0.0000 0.0002 0.9855
K2 0.5000 0.5010 0.3058
Sr1 0.5000 0.4991 0.6932
Li1 0.0000 0.9997 0.5155

Properties
N(E_F)   0.7408 states/eV/atom
Total energy   -10.255 eV/atom
Formation enthalpy at 0 K   0.08 eV per atom



Entry 10:
The following is a DFT calculation (meta-GGA SCAN) of a crystal of KSr2Li relaxed with PBEsol.

Unit cell a=4.1981 b=4.1980 c=10.8832 alpha=90.00 beta=90.00 gamma=89.95
Sites, in units of the cell vectors:
Sr1 0.0000 0.0000 0.1886
Sr2 0.0000 0.0000 0.8114
K1 0.5000 0.5000 0.5000
Li1 0.5000 0.5000 0.0000

Properties
N(E_F)   0.8207 states/eV/atom
Total energy   -13.752 eV/atom
Formation enthalpy at 0 K   0.07 eV per atom



Entry 11:
The following is a DFT calculation (meta-GGA SCAN) of a crystal of KSr2Li relaxed with PBEsol.

Unit cell a=4.2788 b=4.2794 c=10.5315 alpha=90.00 beta=89.99 gamma=90.00
Sites, in units of the cell vectors:
Sr1 0.4996 0.5000 0.2309
Sr2 0.9996 0.0000 0.9581
K1 0.0007 0.0000 0.5426
Li1 0.5000 0.5000 0.7684

Properties
N(E_F)   0.8794 states/eV/atom
Total energy   -13.739 eV/atom
Formation enthalpy at 0 K   0.08 eV per atom



Entry 12:
The following is a DFT calculation (meta-GGA SCAN) of a crystal of KSr2Li2 relaxed with PBEsol.

Unit cell a=4.5201 b=9.6628 c=9.6628 alpha=90.00 beta=90.00 gamma=90.00
Sites, in units of the cell vectors:
Sr1 0.5000 0.8359 0.3359
Sr2 0.5000 0.1641 0.6641
K1 0.0000 0.5000 0.5000
Li1 0.0000 0.1207 0.3793
Sr3 0.5000 0.3359 0.1641
Li2 0.0000 0.6207 0.1207
Li3 0.0000 0.8793 0.6207
Li4 0.0000 0.3793 0.8793
Sr4 0.5000 0.6641 0.8359
K2 0.0000 0.0000 0.0000

Properties
N(E_F)   0.6901 states/eV/atom
Total energy   -11.460 eV/atom
Formation enthalpy at 0 K   0.07 eV per atom



Entry 13:
The following is a DFT calculation (meta-GGA SCAN) of a crystal of K2SrLi relaxed with PBEsol.

Unit cell a=4.7218 b=6.3336 c=6.8923 alpha=90.00 beta=90.00 gamma=90.00
Sites, in units of the cell vectors:
K1 0.5000 0.5000 0.0000
K2 0.0000 0.0000 0.0000
Li1 0.5000 0.0000 0.5000
Sr1 0.0000 0.5000 0.5000

Properties
N(E_F)   0.7783 states/eV/atom
Total energy   -10.175 eV/atom
Formation enthalpy at 0 K   0.16 eV per atom



Entry 14:
The following is a DFT calculation (meta-GGA SCAN) of a crystal of K3SrLi relaxed with PBEsol.

Unit cell a=6.7291 b=6.7291 c=6.7291 alpha=90.00 beta=90.00 gamma=90.00
Sites, in units of the cell vectors:
K1 0.5000 0.0000 0.0000
Li1 0.0000 0.0000 0.0000
K2 0.0000 0.5000 0.0000
K3 0.0000 0.0000 0.5000
Sr1 0.5000 0.5000 0.5000

Properties
N(E_F)   0.7370 states/eV/atom
Total energy   -9.677 eV/atom
Formation enthalpy at 0 K   0.25 eV per atom



Entry 15:
The following is a DFT calculation (meta-GGA SCAN) of a crystal of KLi3Ta relaxed with PBEsol.

Unit cell a=5.4600 b=5.4600 c=5.4600 alpha=90.00 beta=90.00 gamma=90.00
Each line ends with the local moment (μB).
Sites, in units of the cell vectors:
Li1 0.5000 0.0000 0.0000  0.06
K1 0.5000 0.5000 0.5000  0.02
Li2 0.0000 0.5000 0.0000  0.06
Li3 0.0000 0.0000 0.5000  0.06
Ta1 0.0000 0.0000 0.0000  2.51

Properties
N(E_F)   0.6236 states/eV/atom
Total energy   -15.278 eV/atom
Formation enthalpy at 0 K   1.14 eV per atom



Entry 16:
The following is a DFT calculation (meta-GGA SCAN) of a crystal of KLiTc2 relaxed with PBEsol.

Unit cell a=2.6732 b=4.4869 c=6.1658 alpha=111.34 beta=102.52 gamma=90.00
Sites, in units of the cell vectors:
Li1 0.0000 0.5000 0.0000
Tc1 0.7266 0.7266 0.4532
Tc2 0.2734 0.2734 0.5468
K1 0.5000 0.0000 0.0000

Properties
N(E_F)   0.7456 states/eV/atom
Total energy   -19.386 eV/atom
Formation enthalpy at 0 K   0.82 eV per atom



Entry 17:
The following is a DFT calculation (meta-GGA SCAN) of a crystal of KLiTc2 relaxed with PBEsol.

Unit cell a=2.6744 b=2.6744 c=10.7657 alpha=82.86 beta=82.86 gamma=60.00
Sites, in units of the cell vectors:
Tc1 0.2595 0.2595 0.2215
Li1 0.0000 0.0000 0.0000
K1 0.5000 0.5000 0.5000
Tc2 0.7405 0.7405 0.7785

Properties
N(E_F)   0.8946 states/eV/atom
Total energy   -19.360 eV/atom
Formation enthalpy at 0 K   0.85 eV per atom



Entry 18:
The following is a DFT calculation (meta-GGA SCAN) of a crystal of KLiTe2 relaxed with PBEsol.

Unit cell a=4.9380 b=4.9495 c=5.7549 alpha=115.47 beta=115.41 gamma=90.00
Sites, in units of the cell vectors:
K1 0.5000 0.0000 0.0000
Te1 0.2501 0.2501 0.5002
Te2 0.7499 0.7499 0.4998
Li1 0.0000 0.5000 0.0000

Properties
N(E_F)   0.2487 states/eV/atom
Uncorrected formation energy   -664 meV per atom
Total energy   -21.969 eV/atom



Entry 19:
The following is a DFT calculation (meta-GGA SCAN) of a crystal of KLiTe relaxed with PBEsol.

Unit cell a=4.6643 b=4.6643 c=4.9332 alpha=90.00 beta=90.00 gamma=120.00
Sites, in units of the cell vectors:
K1 0.0000 0.0000 0.0000
Te1 0.3333 0.6667 0.5000
Li1 0.6667 0.3333 0.5000

Properties
N(E_F)   0.0000 states/eV/atom
Uncorrected formation energy   -1152 meV per atom
Total energy   -17.142 eV/atom



Entry 20:
The following is a DFT calculation (meta-GGA SCAN) of a crystal of K2LiTe relaxed with PBEsol.

Unit cell a=4.6769 b=4.6769 c=9.3144 alpha=75.46 beta=75.46 gamma=60.00
Sites, in units of the cell vectors:
K1 0.7824 0.7824 0.6528
Li1 0.5409 0.5409 0.3772
Te1 0.2073 0.2073 0.3782
K2 0.9661 0.9661 0.1018

Properties
N(E_F)   0.2517 states/eV/atom
Uncorrected formation energy   -843 meV per atom
Total energy   -14.918 eV/atom



Entry 21:
The following is a DFT calculation (meta-GGA SCAN) of a crystal of KLiTe2 relaxed with PBEsol.

Unit cell a=5.8003 b=5.8003 c=9.7634 alpha=107.28 beta=107.28 gamma=90.00
Sites, in units of the cell vectors:
Li1 0.7500 0.2500 0.5000
Te1 0.6935 0.3750 0.2500
K1 0.0000 0.0000 0.0000
Te2 0.5565 0.8750 0.2500
Te3 0.6250 0.4435 0.7500
Li2 0.5000 0.5000 0.0000
Te4 0.1250 0.3065 0.7500
K2 0.2500 0.7500 0.5000

Properties
N(E_F)   0.2890 states/eV/atom
Uncorrected formation energy   -870 meV per atom
Total energy   -22.175 eV/atom



Entry 22:
The following is a DFT calculation (meta-GGA SCAN) of a crystal of KLi3Te relaxed with PBEsol.

Unit cell a=5.4228 b=5.4228 c=5.4228 alpha=90.00 beta=90.00 gamma=90.00
Sites, in units of the cell vectors:
Li1 0.0000 0.5000 0.0000
Li2 0.0000 0.0000 0.5000
K1 0.5000 0.5000 0.5000
Li3 0.5000 0.0000 0.0000
Te1 0.0000 0.0000 0.0000

Properties
N(E_F)   0.3974 states/eV/atom
Uncorrected formation energy   -417 meV per atom
Total energy   -10.967 eV/atom



Entry 23:
The following is a DFT calculation (meta-GGA SCAN) of a crystal of KLiTe2 relaxed with PBEsol.

Unit cell a=3.5222 b=3.5222 c=9.7990 alpha=90.00 beta=90.00 gamma=90.00
Sites, in units of the cell vectors:
Li1 0.5000 0.5000 0.9633
K1 0.0000 0.0000 0.4786
Te1 0.5000 0.5000 0.2413
Te2 0.0000 0.0000 0.8168

Properties
N(E_F)   0.3560 states/eV/atom
Uncorrected formation energy   -646 meV per atom
Total energy   -21.951 eV/atom



Entry 24:
The following is a DFT calculation (meta-GGA SCAN) of a crystal of KLiTe relaxed with PBEsol.

Unit cell a=4.5136 b=4.5136 c=5.5176 alpha=114.14 beta=114.14 gamma=90.00
Sites, in units of the cell vectors:
Li1 0.3375 0.3375 0.6749
K1 0.0110 0.0110 0.0220
Te1 0.6516 0.6516 0.3031

Properties
N(E_F)   0.0000 states/eV/atom
Uncorrected formation energy   -857 meV per atom
Total energy   -16.847 eV/atom



Entry 25:
The following is a DFT calculation (meta-GGA SCAN) of a crystal of K2LiTe2 relaxed with PBEsol.

Unit cell a=3.5585 b=9.7508 c=9.7508 alpha=90.00 beta=90.00 gamma=90.00
Sites, in units of the cell vectors:
K1 0.0000 0.1198 0.3802
K2 0.0000 0.6198 0.1198
K3 0.0000 0.3802 0.8802
K4 0.0000 0.8802 0.6198
Li1 0.0000 0.0000 0.0000
Te1 0.5000 0.1790 0.6790
Te2 0.5000 0.3210 0.1790
Li2 0.0000 0.5000 0.5000
Te3 0.5000 0.6790 0.8210
Te4 0.5000 0.8210 0.3210

Properties
N(E_F)   0.1738 states/eV/atom
Uncorrected formation energy   -718 meV per atom
Total energy   -19.428 eV/atom



Entry 26:
The following is a DFT calculation (meta-GGA SCAN) of a crystal of KLiTe2 relaxed with PBEsol.

Unit cell a=5.4261 b=5.4261 c=5.4261 alpha=60.00 beta=60.00 gamma=60.00
Sites, in units of the cell vectors:
K1 0.0000 0.0000 0.0000
Li1 0.5000 0.5000 0.5000
Te1 0.2500 0.2500 0.2500
Te2 0.7500 0.7500 0.7500

Properties
N(E_F)   0.7815 states/eV/atom
Uncorrected formation energy   -533 meV per atom
Total energy   -21.838 eV/atom



Entry 27:
The following is a DFT calculation (meta-GGA SCAN) of a crystal of KLiTe2 relaxed with PBEsol.

Unit cell a=4.5962 b=4.9347 c=4.9347 alpha=90.00 beta=90.00 gamma=90.00
Sites, in units of the cell vectors:
Te1 0.0000 0.0000 0.5000
Li1 0.5000 0.0000 0.0000
Te2 0.0000 0.5000 0.0000
K1 0.5000 0.5000 0.5000

Properties
N(E_F)   0.2403 states/eV/atom
Uncorrected formation energy   -663 meV per atom
Total energy   -21.968 eV/atom



Entry 28:
The following is a DFT calculation (meta-GGA SCAN) of a crystal of K2LiTe relaxed with PBEsol.

Unit cell a=5.8077 b=5.8077 c=5.8077 alpha=60.00 beta=60.00 gamma=60.00
Sites, in units of the cell vectors:
K1 0.0000 0.0000 0.0000
Te1 0.2500 0.2500 0.2500
K2 0.7500 0.7500 0.7500
Li1 0.5000 0.5000 0.5000

Properties
N(E_F)   0.5749 states/eV/atom
Uncorrected formation energy   -483 meV per atom
Total energy   -14.557 eV/atom



Entry 29:
The following is a DFT calculation (meta-GGA SCAN) of a crystal of KLi2Te2 relaxed with PBEsol.

Unit cell a=4.6772 b=4.6772 c=7.0316 alpha=109.43 beta=109.43 gamma=90.00
Each line ends with the local moment (μB).
Sites, in units of the cell vectors:
Te1 0.3678 0.3678 0.7356  -0.13
Te2 0.6322 0.6322 0.2644  -0.13
Li1 0.2500 0.7500 0.5000  0.00
K1 0.0000 0.0000 0.0000  0.00
Li2 0.7500 0.2500 0.5000  0.00

Properties
N(E_F)   0.3900 states/eV/atom
Uncorrected formation energy   -996 meV per atom
Total energy   -18.518 eV/atom